AsH2Br3 after structural relaxation. Source: Alexandria, functional PBE-GGA.

Computed properties:
Density in g/cm3: 3.030
N(E_F) in states/eV/cell: 0.0
E_tot in hartree per atom: -0.0827
SG: C2/c

a b c (Å): 6.937 6.937 7.606
angles (deg): 90.90 90.90 71.47
Fractional positions:
As1 0.037 0.963 0.750
As2 0.963 0.037 0.250
H1 0.207 0.499 0.262
H2 0.499 0.207 0.762
H3 0.501 0.793 0.238
H4 0.793 0.501 0.738
Br1 0.167 0.169 0.005
Br2 0.169 0.167 0.505
Br3 0.328 0.672 0.750
Br4 0.672 0.328 0.250
Br5 0.831 0.833 0.495
Br6 0.833 0.831 0.995